Record 1
A relaxed structure of Li4Mg7Tl, computed with PBE.

The space group is C2/m (No. 12) and the conventional cell measures 14.237, 5.305 and 8.403 Å, with angles of 90.00, 119.86 and 90.00 degrees. The asymmetric unit holds Li at (0.053, 0.000, 0.196), Li at (0.177, 0.000, 0.857), Mg at (0.000, 0.000, 0.500), Mg at (0.086, 0.500, 0.943), Mg at (0.195, 0.500, 0.374), Mg at (0.240, 0.500, 0.769) and Tl at (0.000, 0.500, 0.500).

For the energy of formation, the calculation gives 0.06 eV/atom.

Record 2
A relaxed structure of TiWCl2, computed with PBE.

The space group is I-42d (No. 122) and the conventional cell measures 4.134, 4.134 and 15.906 Å, with angles of 90.00, 90.00 and 90.00 degrees. The asymmetric unit holds Ti at (0.000, 0.000, 0.000), W at (0.000, 0.000, 0.500) and Cl at (0.247, 0.250, 0.625).

As for the excess energy over the best structure of this formula in the dataset: 0.386 eV per atom.

Record 3
A relaxed structure of Li3YMg, computed with PBE.

The space group is Pm-3m (No. 221) and the conventional cell measures 4.961, 4.961 and 4.961 Å, with angles of 90.00, 90.00 and 90.00 degrees. The asymmetric unit holds Li at (0.000, 0.000, 0.500), Y at (0.500, 0.500, 0.500) and Mg at (0.000, 0.000, 0.000).

For the energy of formation, the calculation gives 0.38 eV/atom. As for the excess energy over the best structure of this formula in the dataset: 0.000 eV per atom.